## Dy4AuC2 (PBE)

Data for a relaxed Dy4AuC2 crystal.

The value obtained for the total energy is -6.13 eV/atom. As for the density of states at the Fermi level: 24.969 states/eV/cell. The crystal system is orthorhombic. For the energy of formation from the pure elements, the calculation gives -0.3965 eV per atom.

The structure belongs to space group Cmcm (No. 63); the cell edges are 3.6667, 12.2738 and 12.9177 Å and the angles 90.00°, 90.00° and 90.00°. The distinct sites, in fractional coordinates, are Dy at (0.0000, 0.0000, 0.0000), Dy at (0.0000, 0.2658, 0.1044), Dy at (0.0000, 0.4243, 0.7500), Au at (0.0000, 0.1111, 0.7500) and C at (0.0000, 0.3646, 0.5604).



## La2Np2Se7 (PBE)

Data for a relaxed La2Np2Se7 crystal.

The uncorrected formation energy comes out at -1.35 eV per atom. The value obtained for the total energy is -6.81 eV/atom. As for the density of states at the Fermi level: 40.946 states/eV/cell. The crystal system is orthorhombic.

The structure belongs to space group Cmmm (No. 65); the cell edges are 9.2285, 10.3728 and 6.9607 Å and the angles 90.00°, 90.00° and 90.00°. The distinct sites, in fractional coordinates, are La at (0.2386, 0.0000, 0.0000), Np at (0.0000, 0.2323, 0.5000), Se at (0.0000, 0.0000, 0.2664), Se at (0.0000, 0.5000, 0.5000) and Se at (0.2500, 0.2500, 0.2461).



## LaGa4Pd2Pt (PBE)

Data for a relaxed LaGa4Pd2Pt crystal.

The value obtained for the total energy is -4.86 eV/atom. As for the density of states at the Fermi level: 9.061 states/eV/cell. The crystal system is trigonal. For the energy of formation from the pure elements, the calculation gives -0.6744 eV per atom.

The structure belongs to space group R-3m (No. 166, hexagonal axes); the cell edges are 4.3362, 4.3362 and 27.1964 Å and the angles 90.00°, 90.00° and 120.00°. The distinct sites, in fractional coordinates, are La at (0.0000, 0.0000, 0.0000), Ga at (0.0000, 0.0000, 0.1319), Ga at (0.0000, 0.0000, 0.4017), Pd at (0.0000, 0.0000, 0.2367) and Pt at (0.0000, 0.0000, 0.5000).